(1)
Below is a geometry-optimized Cs2HfMnCl6 structure, with properties calculated at the PBE-GGA level.

Cell and atoms, written as CIF:
```
data_Cs2HfMnCl6
_space_group_name_H-M_alt 'F m -3 m'
_space_group_IT_number 225
_space_group_name_Hall '-F 4 2 3'
_cell_length_a 10.303
_cell_length_b 10.303
_cell_length_c 10.303
_cell_angle_alpha 90.00
_cell_angle_beta 90.00
_cell_angle_gamma 90.00
loop_
_atom_site_label
_atom_site_type_symbol
_atom_site_fract_x
_atom_site_fract_y
_atom_site_fract_z
Cs1 Cs 0.250 0.250 0.250
Hf1 Hf 0.000 0.000 0.000
Mn1 Mn 0.000 0.000 0.500
Cl1 Cl 0.000 0.000 0.248
```

Values from the calculation:
Formation energy from raw total energies   -1465 meV/atom
Calculated total energy   -4.66 eV per atom
Fermi-level density of states   0.4452 states/eV/atom

---

(2)
Below is a geometry-optimized CsNaHfCl6 structure, with properties calculated at the PBE-GGA level.

Cell and atoms, written as CIF:
```
data_CsNaHfCl6
_space_group_name_H-M_alt 'P -3 1 c'
_space_group_IT_number 163
_space_group_name_Hall '-P 3 2c'
_cell_length_a 7.0886
_cell_length_b 7.0886
_cell_length_c 14.9802
_cell_angle_alpha 90.00
_cell_angle_beta 90.00
_cell_angle_gamma 120.00
loop_
_atom_site_label
_atom_site_type_symbol
_atom_site_fract_x
_atom_site_fract_y
_atom_site_fract_z
Cs1 Cs 0.0000 0.0000 0.0000
Na1 Na 0.3333 0.6667 0.2500
Hf1 Hf 0.3333 0.6667 0.7500
Cl1 Cl 0.0395 0.3949 0.6542
```

Values from the calculation:
Formation energy from raw total energies   -1937 meV/atom
Calculated total energy   -4.52 eV per atom
Fermi-level density of states   0.0000 states/eV/atom

---

(3)
Below is a geometry-optimized Cs2HfNbCl6 structure, with properties calculated at the PBE-GGA level.

Cell and atoms, written as CIF:
```
data_Cs2HfNbCl6
_space_group_name_H-M_alt 'F m -3 m'
_space_group_IT_number 225
_space_group_name_Hall '-F 4 2 3'
_cell_length_a 10.302
_cell_length_b 10.302
_cell_length_c 10.302
_cell_angle_alpha 90.00
_cell_angle_beta 90.00
_cell_angle_gamma 90.00
loop_
_atom_site_label
_atom_site_type_symbol
_atom_site_fract_x
_atom_site_fract_y
_atom_site_fract_z
Cs1 Cs 0.250 0.250 0.250
Hf1 Hf 0.000 0.000 0.000
Nb1 Nb 0.000 0.000 0.500
Cl1 Cl 0.000 0.000 0.248
```

Values from the calculation:
Formation energy from raw total energies   -1321 meV/atom
Calculated total energy   -4.60 eV per atom
Fermi-level density of states   0.3923 states/eV/atom